1.
Tl7In2Sn2: relaxed, PBE.

- SG = C2/m
- energy relative to the elements (eV per formula unit) = 1.0

Cell lengths 7.605, 7.605, 6.715 Å; angles 96.59, 96.59, 113.22 degrees
Sites, in units of the cell vectors:
1 Tl 0.000 0.000 0.000
2 Tl 0.082 0.573 0.790
3 Tl 0.333 0.333 0.342
4 Tl 0.427 0.918 0.210
5 Tl 0.573 0.082 0.790
6 Tl 0.667 0.667 0.658
7 Tl 0.918 0.427 0.210
8 In 0.122 0.878 0.500
9 In 0.878 0.122 0.500
10 Sn 0.329 0.329 0.837
11 Sn 0.671 0.671 0.163


2.
SrCoCl4: relaxed, PBE.

- SG = I4_1/amd

Cell lengths 7.750, 7.750, 7.750 Å; angles 105.79, 105.79, 117.13 degrees
Sites, in units of the cell vectors:
1 Sr 0.375 0.625 0.750
2 Sr 0.625 0.375 0.250
3 Co 0.125 0.875 0.250
4 Co 0.875 0.125 0.750
5 Cl 0.124 0.692 0.432
6 Cl 0.241 0.308 0.932
7 Cl 0.308 0.241 0.432
8 Cl 0.308 0.876 0.068
9 Cl 0.692 0.124 0.932
10 Cl 0.692 0.759 0.568
11 Cl 0.759 0.692 0.068
12 Cl 0.876 0.308 0.568


3.
FeTe4Se: relaxed, PBE.

- SG = F-43m

Cell lengths 6.225, 6.225, 6.225 Å; angles 60.00, 60.00, 60.00 degrees
Sites, in units of the cell vectors:
1 Fe 0.000 0.000 0.000
2 Te 0.376 0.376 0.376
3 Te 0.376 0.376 0.873
4 Te 0.376 0.873 0.376
5 Te 0.873 0.376 0.376
6 Se 0.750 0.750 0.750


One value per record, in order, for E: -29.1, -50.4, -19.0 eV/cell.
One value per record, in order, for total moment: 0.0, 6.0, 3.1 Bohr magnetons per cell.